! EuNiPd | Alexandria | GGA-PBE | relaxed; values from VASP
! Energy relative to the elements = -0.339 eV per atom
! Volume = 21.0 Å³/atom
! M_tot = 6.86 Bohr magnetons per cell
! Space-group type = P-6m2 (187)
&SYSTEM
  ibrav = 0, nat = 3, ntyp = 3
/
ATOMIC_SPECIES
Ni 58.69 Ni.upf
Eu 151.96 Eu.upf
Pd 106.42 Pd.upf
ATOMIC_POSITIONS crystal
Ni 0.167 0.000 0.000
Eu 0.667 0.333 0.667
Pd 0.167 0.667 0.333
CELL_PARAMETERS angstrom
4.089 0.000 0.000
0.000 4.218 0.000
0.000 -2.109 3.653